BeRu2: optimized geometry, PBE.

Cell: 4.716 4.716 5.867 Å, 99.04 99.04 34.84°
Fractional coordinates of all 6 atoms:
Be1 0.000 0.000 0.000
Be2 0.742 0.742 0.420
Ru1 0.072 0.072 0.620
Ru2 0.351 0.351 0.745
Ru3 0.437 0.437 0.275
Ru4 0.705 0.705 0.021

## Properties
Calculated formation energy   -0.0157 eV per atom

In4TcBr: optimized geometry, PBE.

Cell: 6.035 6.035 6.035 Å, 60.00 60.00 60.00°
Fractional coordinates of all 6 atoms:
In1 0.124 0.124 0.124
In2 0.124 0.124 0.627
In3 0.124 0.627 0.124
In4 0.627 0.124 0.124
Tc1 0.750 0.750 0.750
Br1 0.500 0.500 0.500

## Properties
Raw formation energy   0.584 eV/atom

AcLa2Ag2Sn2: optimized geometry, PBE.

Cell: 10.068 10.068 10.068 Å, 28.05 28.05 28.05°
Fractional coordinates of all 7 atoms:
Ac1 0.000 0.000 0.000
La1 0.139 0.139 0.139
La2 0.861 0.861 0.861
Ag1 0.424 0.424 0.424
Ag2 0.576 0.576 0.576
Sn1 0.262 0.262 0.262
Sn2 0.738 0.738 0.738

## Properties
Calculated formation energy   -0.4779 eV per atom

Sc2TaB2Rh5: optimized geometry, PBE.

Cell: 9.314 9.314 3.225 Å, 90.00 90.00 90.00°
Fractional coordinates of all 20 atoms:
Sc1 0.174 0.326 0.000
Sc2 0.326 0.826 0.000
Sc3 0.674 0.174 0.000
Sc4 0.826 0.674 0.000
Ta1 0.000 0.000 0.000
Ta2 0.500 0.500 0.000
B1 0.121 0.621 0.000
B2 0.379 0.121 0.000
B3 0.621 0.879 0.000
B4 0.879 0.379 0.000
Rh1 0.000 0.500 0.500
Rh2 0.072 0.782 0.500
Rh3 0.218 0.072 0.500
Rh4 0.282 0.572 0.500
Rh5 0.428 0.282 0.500
Rh6 0.500 0.000 0.500
Rh7 0.572 0.718 0.500
Rh8 0.718 0.428 0.500
Rh9 0.782 0.928 0.500
Rh10 0.928 0.218 0.500

## Properties
Calculated formation energy   -0.7866 eV per atom

Pm2CuPt: optimized geometry, PBE.

Cell: 4.535 5.713 5.713 Å, 39.95 90.00 90.00°
Fractional coordinates of all 4 atoms:
Pm1 0.000 0.000 0.000
Pm2 0.500 0.276 0.276
Cu1 0.500 0.562 0.562
Pt1 0.000 0.715 0.715

## Properties
Calculated formation energy   -0.7097 eV per atom

BeIrPdW2: optimized geometry, PBE.

Cell: 4.218 4.218 4.113 Å, 90.00 90.00 90.00°
Fractional coordinates of all 5 atoms:
Be1 0.000 0.000 0.000
Ir1 0.000 0.000 0.500
Pd1 0.500 0.500 0.500
W1 0.000 0.500 0.000
W2 0.500 0.000 0.000

## Properties
Calculated formation energy   0.6028 eV per atom

YCo2Sb: optimized geometry, PBE.

Cell: 3.555 3.637 5.488 Å, 90.00 90.00 90.00°
Fractional coordinates of all 4 atoms:
Y1 0.000 0.000 0.000
Co1 0.000 0.000 0.508
Co2 0.500 0.500 0.814
Sb1 0.500 0.500 0.359

## Properties
Raw formation energy   0.030 eV/atom

TiCu2Br: optimized geometry, PBE.

Cell: 4.564 4.564 4.564 Å, 60.00 60.00 60.00°
Fractional coordinates of all 4 atoms:
Ti1 0.000 0.000 0.000
Cu1 0.250 0.250 0.250
Cu2 0.750 0.750 0.750
Br1 0.500 0.500 0.500

## Properties
Raw formation energy   0.617 eV/atom

Re3MoBr: optimized geometry, PBE.

Cell: 4.800 4.800 4.800 Å, 90.00 90.00 90.00°
Fractional coordinates of all 5 atoms:
Re1 0.000 0.000 0.500
Re2 0.000 0.500 0.000
Re3 0.500 0.000 0.000
Mo1 0.000 0.000 0.000
Br1 0.500 0.500 0.500

## Properties
Raw formation energy   2.551 eV/atom

ErVSn: optimized geometry, PBE.

Cell: 5.700 5.700 5.700 Å, 143.70 143.70 52.27°
Fractional coordinates of all 3 atoms:
Er1 0.000 0.000 0.000
V1 0.677 0.677 0.000
Sn1 0.303 0.303 0.000

## Properties
Calculated formation energy   -0.0436 eV per atom

TlIn2Hg6: optimized geometry, PBE.

Cell: 8.864 8.864 3.422 Å, 99.59 99.59 71.15°
Fractional coordinates of all 9 atoms:
Tl1 0.000 0.000 0.000
In1 0.374 0.374 0.884
In2 0.626 0.626 0.116
Hg1 0.031 0.342 0.694
Hg2 0.301 0.699 0.500
Hg3 0.342 0.031 0.694
Hg4 0.658 0.969 0.306
Hg5 0.699 0.301 0.500
Hg6 0.969 0.658 0.306

## Properties
Calculated formation energy   0.0038 eV per atom

LiEuCdPb: optimized geometry, PBE.

Cell: 5.290 5.290 5.290 Å, 60.00 60.00 60.00°
Fractional coordinates of all 4 atoms:
Li1 0.000 0.000 0.000
Eu1 0.500 0.500 0.500
Cd1 0.750 0.750 0.750
Pb1 0.250 0.250 0.250

## Properties
Calculated formation energy   -0.3578 eV per atom

Calculated density values, unit g cm⁻³, following the record order: 9.54, 6.81, 7.98, 9.58, 9.58, 15.33, 7.69, 6.29, 11.03, 8.67, 10.92, 7.59.